A geometry-optimized Na3CuRh structure, computed with PBE.

```
Na3CuRh
1.0
-0.033 4.530 2.511
-2.801 -2.128 3.803
4.357 -1.334 2.463
Na Rh Cu
3 1 1
Cartesian
-1.400 -1.064 1.901 Na
2.179 -0.667 1.231 Na
-0.016 2.265 1.256 Na
0.762 0.534 4.388 Rh
0.000 0.000 0.000 Cu
```

* magnetic moment: 0.98 Bohr magnetons per cell
* SG: Pm-3m
* energy above the most stable polymorph in this dataset: 18 meV/atom

***

A geometry-optimized NaPt3 structure, computed with PBE.

```
NaPt3
1.0
4.986 -0.010 -0.027
4.230 2.639 -0.027
-9.948 -2.838 4.960
Na Pt
1 3
Cartesian
0.000 0.000 0.000 Na
-2.410 -0.687 1.274 Pt
-4.974 -1.419 2.480 Pt
1.678 0.479 3.631 Pt
```

* magnetic moment: 0.00 Bohr magnetons per cell
* DFT total energy: -4.929 eV per atom
* SG: C2/m

***

A geometry-optimized NaMgSn2 structure, computed with PBE.

```
NaMgSn2
1.0
4.641 0.000 0.000
0.000 4.641 0.000
2.320 2.320 10.304
Na Mg Sn
2 2 4
Cartesian
2.320 2.320 0.000 Na
2.320 4.641 5.152 Na
0.000 0.000 0.000 Mg
4.641 2.320 5.152 Mg
3.530 1.160 2.576 Sn
1.111 3.481 2.576 Sn
3.481 3.432 7.728 Sn
5.801 5.850 7.728 Sn
```

* magnetic moment: 0.00 Bohr magnetons per cell
* DFT total energy: -2.717 eV per atom
* SG: I-42d

***

| no. | V (Å³/cell) |
| --- | --- |
| 1 | 139 |
| 2 | 65 |
| 3 | 222 |